# TbHg meta-GGA SCAN single point on PBEsol structure
data_TbHg
_chemical_formula_sum 'Tb1 Hg1'
_cell_length_a 3.667
_cell_length_b 3.667
_cell_length_c 3.667
_cell_angle_alpha 90.00
_cell_angle_beta 90.00
_cell_angle_gamma 90.00
_space_group_name_H-M_alt 'P 1'
_space_group_IT_number 1
_space_group_name_Hall 'P 1'
loop_
_atom_site_label
_atom_site_type_symbol
_atom_site_fract_x
_atom_site_fract_y
_atom_site_fract_z
Tb1 Tb 0.000 0.000 0.000
Hg1 Hg 0.500 0.500 0.500
# DOS at the Fermi energy: 1.35 states/eV/f.u.
# Crystal system: cubic
# Magnetization: 0.00 μB per cell
# Space group: Pm-3m
# Raw total energy: -116.34 eV/cell
# Formation enthalpy at 0 K: -1.41 eV/f.u.


# Ag5Au3 meta-GGA SCAN single point on PBEsol structure
data_Ag5Au3
_chemical_formula_sum 'Ag5 Au3'
_cell_length_a 5.780
_cell_length_b 5.780
_cell_length_c 3.983
_cell_angle_alpha 90.00
_cell_angle_beta 90.00
_cell_angle_gamma 90.26
_space_group_name_H-M_alt 'P 1'
_space_group_IT_number 1
_space_group_name_Hall 'P 1'
loop_
_atom_site_label
_atom_site_type_symbol
_atom_site_fract_x
_atom_site_fract_y
_atom_site_fract_z
Ag1 Ag 0.000 0.000 0.000
Ag2 Ag 0.000 0.500 0.000
Ag3 Ag 0.249 0.751 0.500
Ag4 Ag 0.500 0.000 0.000
Ag5 Ag 0.751 0.249 0.500
Au1 Au 0.250 0.250 0.500
Au2 Au 0.500 0.500 0.000
Au3 Au 0.750 0.750 0.500
# DOS at the Fermi energy: 2.02 states/eV/f.u.
# Crystal system: orthorhombic
# Magnetization: 0.00 μB per cell
# Energy relative to the lowest polymorph listed for this composition: 0 meV/atom
# Space group: Cmmm
# Raw total energy: -364.94 eV/cell
# Formation enthalpy at 0 K: -0.63 eV/f.u.


# MgFeGe2O6 meta-GGA SCAN single point on PBEsol structure
data_MgFeGe2O6
_chemical_formula_sum 'Mg2 Fe2 Ge4 O12'
_cell_length_a 6.595
_cell_length_b 6.595
_cell_length_c 5.109
_cell_angle_alpha 96.63
_cell_angle_beta 96.63
_cell_angle_gamma 84.51
_space_group_name_H-M_alt 'P 1'
_space_group_IT_number 1
_space_group_name_Hall 'P 1'
loop_
_atom_site_label
_atom_site_type_symbol
_atom_site_fract_x
_atom_site_fract_y
_atom_site_fract_z
Mg1 Mg 0.227 0.773 0.750
Mg2 Mg 0.773 0.227 0.250
Fe1 Fe 0.421 0.579 0.250
Fe2 Fe 0.579 0.421 0.750
Ge1 Ge 0.098 0.297 0.787
Ge2 Ge 0.297 0.098 0.287
Ge3 Ge 0.703 0.902 0.713
Ge4 Ge 0.902 0.703 0.213
O1 O 0.068 0.206 0.101
O2 O 0.135 0.636 0.384
O3 O 0.206 0.068 0.601
O4 O 0.283 0.476 0.864
O5 O 0.364 0.865 0.116
O6 O 0.476 0.283 0.364
O7 O 0.524 0.717 0.636
O8 O 0.636 0.135 0.884
O9 O 0.717 0.524 0.136
O10 O 0.794 0.932 0.399
O11 O 0.865 0.364 0.616
O12 O 0.932 0.794 0.899
# DOS at the Fermi energy: 0.54 states/eV/f.u.
# Crystal system: monoclinic
# Magnetization: 8.06 μB per cell
# Space group: C2/c
# Energy relative to the elements, uncorrected: -1.983 eV/atom
# Raw total energy: -237.00 eV/cell


# NaLa3S meta-GGA SCAN single point on PBEsol structure
data_NaLa3S
_chemical_formula_sum 'Na1 La3 S1'
_cell_length_a 5.559
_cell_length_b 5.559
_cell_length_c 5.559
_cell_angle_alpha 90.00
_cell_angle_beta 90.00
_cell_angle_gamma 90.00
_space_group_name_H-M_alt 'P 1'
_space_group_IT_number 1
_space_group_name_Hall 'P 1'
loop_
_atom_site_label
_atom_site_type_symbol
_atom_site_fract_x
_atom_site_fract_y
_atom_site_fract_z
Na1 Na 0.000 0.000 0.000
La1 La 0.000 0.500 0.500
La2 La 0.500 0.000 0.500
La3 La 0.500 0.500 0.000
S1 S 0.500 0.500 0.500
# DOS at the Fermi energy: 6.70 states/eV/f.u.
# Crystal system: cubic
# Magnetization: 0.00 μB per cell
# Space group: Pm-3m
# Energy relative to the elements, uncorrected: -0.728 eV/atom
# Raw total energy: -146.80 eV/cell


# BaTcCl2 meta-GGA SCAN single point on PBEsol structure
data_BaTcCl2
_chemical_formula_sum 'Ba1 Tc1 Cl2'
_cell_length_a 6.475
_cell_length_b 6.475
_cell_length_c 6.475
_cell_angle_alpha 142.21
_cell_angle_beta 142.21
_cell_angle_gamma 54.51
_space_group_name_H-M_alt 'P 1'
_space_group_IT_number 1
_space_group_name_Hall 'P 1'
loop_
_atom_site_label
_atom_site_type_symbol
_atom_site_fract_x
_atom_site_fract_y
_atom_site_fract_z
Ba1 Ba 0.000 0.000 0.000
Tc1 Tc 0.250 0.750 0.500
Cl1 Cl 0.500 0.500 0.000
Cl2 Cl 0.750 0.250 0.500
# DOS at the Fermi energy: 1.59 states/eV/f.u.
# Crystal system: tetragonal
# Magnetization: 4.02 μB per cell
# Energy relative to the lowest polymorph listed for this composition: 22 meV/atom
# Space group: I-4m2
# Energy relative to the elements, uncorrected: -0.511 eV/atom
# Raw total energy: -92.61 eV/cell


# Ta2HgRu meta-GGA SCAN single point on PBEsol structure
data_Ta2HgRu
_chemical_formula_sum 'Ta2 Hg1 Ru1'
_cell_length_a 5.106
_cell_length_b 5.106
_cell_length_c 5.106
_cell_angle_alpha 134.25
_cell_angle_beta 134.25
_cell_angle_gamma 66.70
_space_group_name_H-M_alt 'P 1'
_space_group_IT_number 1
_space_group_name_Hall 'P 1'
loop_
_atom_site_label
_atom_site_type_symbol
_atom_site_fract_x
_atom_site_fract_y
_atom_site_fract_z
Ta1 Ta 0.000 0.000 0.000
Ta2 Ta 0.750 0.250 0.500
Hg1 Hg 0.500 0.500 0.000
Ru1 Ru 0.250 0.750 0.500
# DOS at the Fermi energy: 3.40 states/eV/f.u.
# Crystal system: tetragonal
# Magnetization: 0.00 μB per cell
# Space group: I-4m2
# Raw total energy: -235.45 eV/cell
# Formation enthalpy at 0 K: 0.71 eV/f.u.


# FeSiSeBr2 meta-GGA SCAN single point on PBEsol structure
data_FeSiSeBr2
_chemical_formula_sum 'Fe1 Si1 Se1 Br2'
_cell_length_a 4.739
_cell_length_b 4.739
_cell_length_c 4.866
_cell_angle_alpha 90.00
_cell_angle_beta 90.00
_cell_angle_gamma 90.00
_space_group_name_H-M_alt 'P 1'
_space_group_IT_number 1
_space_group_name_Hall 'P 1'
loop_
_atom_site_label
_atom_site_type_symbol
_atom_site_fract_x
_atom_site_fract_y
_atom_site_fract_z
Fe1 Fe 0.000 0.000 0.000
Si1 Si 0.500 0.500 0.500
Se1 Se 0.000 0.000 0.500
Br1 Br 0.000 0.500 0.000
Br2 Br 0.500 0.000 0.000
# DOS at the Fermi energy: 2.67 states/eV/f.u.
# Crystal system: tetragonal
# Magnetization: 3.13 μB per cell
# Space group: P4/mmm
# Energy relative to the elements, uncorrected: 0.401 eV/atom
# Raw total energy: -85.14 eV/cell


# Sn2HgRh2 meta-GGA SCAN single point on PBEsol structure
data_Sn2HgRh2
_chemical_formula_sum 'Sn4 Hg2 Rh4'
_cell_length_a 7.361
_cell_length_b 7.361
_cell_length_c 3.320
_cell_angle_alpha 90.00
_cell_angle_beta 90.00
_cell_angle_gamma 90.00
_space_group_name_H-M_alt 'P 1'
_space_group_IT_number 1
_space_group_name_Hall 'P 1'
loop_
_atom_site_label
_atom_site_type_symbol
_atom_site_fract_x
_atom_site_fract_y
_atom_site_fract_z
Sn1 Sn 0.151 0.349 0.000
Sn2 Sn 0.349 0.849 0.000
Sn3 Sn 0.651 0.151 0.000
Sn4 Sn 0.849 0.651 0.000
Hg1 Hg 0.000 0.000 0.500
Hg2 Hg 0.500 0.500 0.500
Rh1 Rh 0.145 0.645 0.500
Rh2 Rh 0.355 0.145 0.500
Rh3 Rh 0.645 0.855 0.500
Rh4 Rh 0.855 0.355 0.500
# DOS at the Fermi energy: 0.99 states/eV/f.u.
# Crystal system: tetragonal
# Magnetization: 0.00 μB per cell
# Space group: P4/mbm
# Raw total energy: -417.74 eV/cell
# Formation enthalpy at 0 K: -1.32 eV/f.u.


# Hg5Pb meta-GGA SCAN single point on PBEsol structure
data_Hg5Pb
_chemical_formula_sum 'Hg5 Pb1'
_cell_length_a 7.147
_cell_length_b 7.147
_cell_length_c 4.609
_cell_angle_alpha 90.00
_cell_angle_beta 90.00
_cell_angle_gamma 142.05
_space_group_name_H-M_alt 'P 1'
_space_group_IT_number 1
_space_group_name_Hall 'P 1'
loop_
_atom_site_label
_atom_site_type_symbol
_atom_site_fract_x
_atom_site_fract_y
_atom_site_fract_z
Hg1 Hg 0.000 0.000 0.000
Hg2 Hg 0.171 0.829 0.500
Hg3 Hg 0.330 0.670 0.000
Hg4 Hg 0.670 0.330 0.000
Hg5 Hg 0.829 0.171 0.500
Pb1 Pb 0.500 0.500 0.500
# DOS at the Fermi energy: 2.11 states/eV/f.u.
# Crystal system: orthorhombic
# Magnetization: 0.00 μB per cell
# Energy relative to the lowest polymorph listed for this composition: 11 meV/atom
# Space group: Cmmm
# Raw total energy: -416.34 eV/cell
# Formation enthalpy at 0 K: 0.27 eV/f.u.


# ScNi2BH meta-GGA SCAN single point on PBEsol structure
data_ScNi2BH
_chemical_formula_sum 'Sc1 Ni2 B1 H1'
_cell_length_a 3.523
_cell_length_b 3.523
_cell_length_c 3.931
_cell_angle_alpha 90.00
_cell_angle_beta 90.00
_cell_angle_gamma 90.00
_space_group_name_H-M_alt 'P 1'
_space_group_IT_number 1
_space_group_name_Hall 'P 1'
loop_
_atom_site_label
_atom_site_type_symbol
_atom_site_fract_x
_atom_site_fract_y
_atom_site_fract_z
Sc1 Sc 0.000 0.000 0.000
Ni1 Ni 0.000 0.500 0.500
Ni2 Ni 0.500 0.000 0.500
B1 B 0.500 0.500 0.000
H1 H 0.000 0.000 0.500
# DOS at the Fermi energy: 3.52 states/eV/f.u.
# Crystal system: tetragonal
# Magnetization: 0.00 μB per cell
# Space group: P4/mmm
# Raw total energy: -57.29 eV/cell


# OsRuRh2 meta-GGA SCAN single point on PBEsol structure
data_OsRuRh2
_chemical_formula_sum 'Os1 Ru1 Rh2'
_cell_length_a 2.658
_cell_length_b 2.658
_cell_length_c 7.660
_cell_angle_alpha 90.00
_cell_angle_beta 90.00
_cell_angle_gamma 90.00
_space_group_name_H-M_alt 'P 1'
_space_group_IT_number 1
_space_group_name_Hall 'P 1'
loop_
_atom_site_label
_atom_site_type_symbol
_atom_site_fract_x
_atom_site_fract_y
_atom_site_fract_z
Os1 Os 0.000 0.000 0.000
Ru1 Ru 0.000 0.000 0.500
Rh1 Rh 0.500 0.500 0.250
Rh2 Rh 0.500 0.500 0.750
# DOS at the Fermi energy: 3.73 states/eV/f.u.
# Crystal system: tetragonal
# Magnetization: 0.00 μB per cell
# Energy relative to the lowest polymorph listed for this composition: 54 meV/atom
# Space group: P4/mmm
# Raw total energy: -173.87 eV/cell
# Formation enthalpy at 0 K: 0.38 eV/f.u.


# GeP2Au meta-GGA SCAN single point on PBEsol structure
data_GeP2Au
_chemical_formula_sum 'Ge2 P4 Au2'
_cell_length_a 6.624
_cell_length_b 6.624
_cell_length_c 6.624
_cell_angle_alpha 130.61
_cell_angle_beta 130.61
_cell_angle_gamma 72.43
_space_group_name_H-M_alt 'P 1'
_space_group_IT_number 1
_space_group_name_Hall 'P 1'
loop_
_atom_site_label
_atom_site_type_symbol
_atom_site_fract_x
_atom_site_fract_y
_atom_site_fract_z
Ge1 Ge 0.000 0.000 0.000
Ge2 Ge 0.750 0.250 0.500
P1 P 0.120 0.625 0.995
P2 P 0.375 0.370 0.495
P3 P 0.630 0.125 0.005
P4 P 0.875 0.880 0.505
Au1 Au 0.250 0.750 0.500
Au2 Au 0.500 0.500 0.000
# DOS at the Fermi energy: 1.76 states/eV/f.u.
# Crystal system: tetragonal
# Magnetization: 0.00 μB per cell
# Space group: I-42d
# Raw total energy: -218.42 eV/cell
# Formation enthalpy at 0 K: -0.17 eV/f.u.


Question: Number 2 is which compound?
Answer: Ag5Au3